Entry 1:
{"formula": "Sr2ErAgHg6", "functional": "PBE", "state": "relaxed", "lattice_angstrom": [[-6.990, 1.705, 3.113], [-3.239, -5.874, -4.058], [-4.090, -5.552, 3.729]], "species": ["Hg", "Er", "Hg", "Sr", "Hg", "Hg", "Ag", "Hg", "Sr", "Hg"], "frac_coords": [[0.756, 0.756, 0.000], [0.500, 0.500, 0.000], [0.756, 0.756, 0.488], [0.250, 0.750, 0.500], [0.244, 0.244, 0.512], [0.244, 0.244, 0.000], [0.000, 0.000, 0.000], [0.244, 0.756, 0.000], [0.750, 0.250, 0.500], [0.756, 0.244, 0.000]], "m_tot_mub_per_cell": 0.000, "ef_ev_per_fu": -1.349, "spacegroup": "Fm-3m"}


Entry 2:
{"formula": "Er2ThAgHg4", "functional": "PBE", "state": "relaxed", "lattice_angstrom": [[-2.879, 0.250, -4.097], [-4.491, -2.228, -0.048], [-6.317, 7.054, 1.801]], "species": ["Hg", "Th", "Er", "Er", "Hg", "Hg", "Hg", "Ag"], "frac_coords": [[0.617, 0.617, 0.149], [0.000, 0.000, 0.000], [0.761, 0.761, 0.717], [0.239, 0.239, 0.283], [0.873, 0.873, 0.382], [0.383, 0.383, 0.851], [0.127, 0.127, 0.618], [0.500, 0.500, 0.500]], "m_tot_mub_per_cell": 0.000, "ef_ev_per_fu": -2.375, "spacegroup": "R-3m"}


Entry 3:
{"formula": "ErTiAgHg", "functional": "PBE", "state": "relaxed", "lattice_angstrom": [[-3.574, -3.395, 0.399], [0.738, -4.059, 2.728], [-2.402, -0.570, 4.285]], "species": ["Hg", "Ti", "Er", "Ag"], "frac_coords": [[0.000, 0.000, 0.000], [0.250, 0.250, 0.250], [0.750, 0.750, 0.750], [0.500, 0.500, 0.500]], "m_tot_mub_per_cell": 1.606, "ef_ev_per_fu": -0.449, "spacegroup": "F-43m"}